1.
Ti5Bi6 | GGA-PBE | optimized geometry

CIF file:
```
data_Ti5Bi6
_cell_length_a 7.0070
_cell_length_b 12.0332
_cell_length_c 6.9566
_cell_angle_alpha 90.00
_cell_angle_beta 109.43
_cell_angle_gamma 90.00
_symmetry_space_group_name_H-M 'C 1 2/m 1'
_symmetry_Int_Tables_number 12
_symmetry_space_group_name_Hall '-C 2y'
loop_
_atom_site_label
_atom_site_fract_x
_atom_site_fract_y
_atom_site_fract_z
Ti1 0.0000 0.0000 0.0000
Ti2 0.0000 0.1641 0.5000
Ti3 0.0000 0.3254 0.0000
Bi1 0.2334 0.5000 0.2548
Bi2 0.2347 0.3430 0.7370
```

Results
The formation energy comes out at -0.49 kJ per mole of atoms. The size of the total moment comes out at 0.00 μB per formula unit. The density of states at the Fermi level comes out at 8.2 states/eV/f.u.

=====

2.
Ti12Tc3Sn5 | GGA-PBE | optimized geometry

CIF file:
```
data_Ti12Tc3Sn5
_cell_length_a 15.4360
_cell_length_b 15.4360
_cell_length_c 15.4360
_cell_angle_alpha 90.00
_cell_angle_beta 90.00
_cell_angle_gamma 90.00
_symmetry_space_group_name_H-M 'I a -3 d'
_symmetry_Int_Tables_number 230
_symmetry_space_group_name_Hall '-I 4bd 2c 3'
loop_
_atom_site_label
_atom_site_fract_x
_atom_site_fract_y
_atom_site_fract_z
Ti1 0.0114 0.0922 0.6481
Tc1 0.0000 0.2500 0.1250
Sn1 0.0000 0.0000 0.0000
Sn2 0.0000 0.2500 0.3750
```

Results
The formation energy comes out at 46.56 kJ per mole of atoms. The size of the total moment comes out at 2.70 μB per formula unit. The density of states at the Fermi level comes out at 24.3 states/eV/f.u.

=====

3.
TcCl3F | GGA-PBE | optimized geometry

CIF file:
```
data_TcCl3F
_cell_length_a 4.6903
_cell_length_b 4.6903
_cell_length_c 4.6903
_cell_angle_alpha 90.00
_cell_angle_beta 90.00
_cell_angle_gamma 90.00
_symmetry_space_group_name_H-M 'P m -3 m'
_symmetry_Int_Tables_number 221
_symmetry_space_group_name_Hall '-P 4 2 3'
loop_
_atom_site_label
_atom_site_fract_x
_atom_site_fract_y
_atom_site_fract_z
Tc1 0.0000 0.0000 0.0000
Cl1 0.0000 0.5000 0.5000
F1 0.5000 0.5000 0.5000
```

Results
The size of the total moment comes out at 5.13 μB per formula unit. The density of states at the Fermi level comes out at 2.5 states/eV/f.u. For the energy above the most stable polymorph in this dataset, the calculation gives 1476 meV/atom. The uncorrected formation energy comes out at 699 meV per atom.

=====

4.
BaCrFe2 | GGA-PBE | optimized geometry

CIF file:
```
data_BaCrFe2
_cell_length_a 3.1942
_cell_length_b 3.1942
_cell_length_c 7.6876
_cell_angle_alpha 90.00
_cell_angle_beta 90.00
_cell_angle_gamma 90.00
_symmetry_space_group_name_H-M 'P 4 m m'
_symmetry_Int_Tables_number 99
_symmetry_space_group_name_Hall 'P 4 -2'
loop_
_atom_site_label
_atom_site_fract_x
_atom_site_fract_y
_atom_site_fract_z
Ba1 0.0000 0.0000 0.0000
Cr1 0.5000 0.5000 0.3693
Fe1 0.0000 0.0000 0.5168
Fe2 0.5000 0.5000 0.6674
```

Results
The formation energy comes out at 68.46 kJ per mole of atoms. The size of the total moment comes out at 1.63 μB per formula unit. The density of states at the Fermi level comes out at 4.9 states/eV/f.u. For the energy above the most stable polymorph in this dataset, the calculation gives 216 meV/atom.

=====

5.
KRbH6Au2 | GGA-PBE | optimized geometry

CIF file:
```
data_KRbH6Au2
_cell_length_a 10.5020
_cell_length_b 10.2228
_cell_length_c 5.9779
_cell_angle_alpha 90.00
_cell_angle_beta 93.03
_cell_angle_gamma 90.00
_symmetry_space_group_name_H-M 'C 1 2/c 1'
_symmetry_Int_Tables_number 15
_symmetry_space_group_name_Hall '-C 2yc'
loop_
_atom_site_label
_atom_site_fract_x
_atom_site_fract_y
_atom_site_fract_z
K1 0.0000 0.1003 0.2500
Rb1 0.0000 0.3904 0.7500
H1 0.0928 0.1463 0.6502
H2 0.0933 0.3395 0.3161
H3 0.2469 0.4632 0.1322
Au1 0.2503 0.1507 0.6620
```

Results
The size of the total moment comes out at 0.00 μB per formula unit. The density of states at the Fermi level comes out at 0.0 states/eV/f.u. Its energy is -2.986 eV/atom.

=====

6.
Ga3Ir | GGA-PBE | optimized geometry

CIF file:
```
data_Ga3Ir
_cell_length_a 3.4622
_cell_length_b 9.0684
_cell_length_c 8.3799
_cell_angle_alpha 90.00
_cell_angle_beta 90.00
_cell_angle_gamma 90.00
_symmetry_space_group_name_H-M 'C m c m'
_symmetry_Int_Tables_number 63
_symmetry_space_group_name_Hall '-C 2c 2'
loop_
_atom_site_label
_atom_site_fract_x
_atom_site_fract_y
_atom_site_fract_z
Ga1 0.0000 0.0540 0.2500
Ga2 0.0000 0.3618 0.0388
Ir1 0.0000 0.2286 0.7500
```

Results
The formation energy comes out at -35.98 kJ per mole of atoms. The size of the total moment comes out at 0.00 μB per formula unit. The density of states at the Fermi level comes out at 1.1 states/eV/f.u.

=====

7.
NpSnO | GGA-PBE | optimized geometry

CIF file:
```
data_NpSnO
_cell_length_a 3.7118
_cell_length_b 3.7118
_cell_length_c 11.1966
_cell_angle_alpha 90.00
_cell_angle_beta 90.00
_cell_angle_gamma 120.00
_symmetry_space_group_name_H-M 'P -3 m 1'
_symmetry_Int_Tables_number 164
_symmetry_space_group_name_Hall '-P 3 2"'
loop_
_atom_site_label
_atom_site_fract_x
_atom_site_fract_y
_atom_site_fract_z
Np1 0.0000 0.0000 0.1656
Sn1 0.3333 0.6667 0.3999
O1 0.3333 0.6667 0.8840
```

Results
The size of the total moment comes out at 4.28 μB per formula unit. The density of states at the Fermi level comes out at 9.1 states/eV/f.u. The uncorrected formation energy comes out at -1356 meV per atom.

=====

8.
HoErMg2Au4 | GGA-PBE | optimized geometry

CIF file:
```
data_HoErMg2Au4
_cell_length_a 4.8926
_cell_length_b 4.8926
_cell_length_c 23.8389
_cell_angle_alpha 90.00
_cell_angle_beta 90.00
_cell_angle_gamma 120.00
_symmetry_space_group_name_H-M 'R -3 m'
_symmetry_Int_Tables_number 166
_symmetry_space_group_name_Hall '-R 3 2"'
loop_
_atom_site_label
_atom_site_fract_x
_atom_site_fract_y
_atom_site_fract_z
Ho1 0.0000 0.0000 0.0000
Er1 0.0000 0.0000 0.5000
Mg1 0.0000 0.0000 0.2499
Au1 0.0000 0.0000 0.1259
Au2 0.0000 0.0000 0.3750
```

Results
The formation energy comes out at -75.97 kJ per mole of atoms. The size of the total moment comes out at 0.00 μB per formula unit. The density of states at the Fermi level comes out at 5.3 states/eV/f.u.

=====

9.
TbErCd | GGA-PBE | optimized geometry

CIF file:
```
data_TbErCd
_cell_length_a 10.2321
_cell_length_b 5.1111
_cell_length_c 7.2981
_cell_angle_alpha 90.00
_cell_angle_beta 90.00
_cell_angle_gamma 90.00
_symmetry_space_group_name_H-M 'P n m a'
_symmetry_Int_Tables_number 62
_symmetry_space_group_name_Hall '-P 2ac 2n'
loop_
_atom_site_label
_atom_site_fract_x
_atom_site_fract_y
_atom_site_fract_z
Tb1 0.1278 0.2500 0.0003
Er1 0.1225 0.2500 0.5004
Cd1 0.1249 0.7500 0.2503
```

Results
The formation energy comes out at 9.13 kJ per mole of atoms. The size of the total moment comes out at 0.00 μB per formula unit. The density of states at the Fermi level comes out at 3.9 states/eV/f.u. For the energy above the most stable polymorph in this dataset, the calculation gives 286 meV/atom.

=====

10.
Tc2PtW | GGA-PBE | optimized geometry

CIF file:
```
data_Tc2PtW
_cell_length_a 6.2738
_cell_length_b 6.2738
_cell_length_c 6.2738
_cell_angle_alpha 90.00
_cell_angle_beta 90.00
_cell_angle_gamma 90.00
_symmetry_space_group_name_H-M 'F -4 3 m'
_symmetry_Int_Tables_number 216
_symmetry_space_group_name_Hall 'F -4 2 3'
loop_
_atom_site_label
_atom_site_fract_x
_atom_site_fract_y
_atom_site_fract_z
Tc1 0.0000 0.0000 0.0000
Tc2 0.2500 0.2500 0.2500
Pt1 0.0000 0.0000 0.5000
W1 0.2500 0.2500 0.7500
```

Results
The formation energy comes out at 26.22 kJ per mole of atoms. The size of the total moment comes out at 0.00 μB per formula unit. The density of states at the Fermi level comes out at 5.3 states/eV/f.u. For the energy above the most stable polymorph in this dataset, the calculation gives 437 meV/atom.